Entry 1:
# Al3C (GGA-PBE, optimized geometry)
data_Al3C
_chemical_formula_sum 'Al3 C1'
_symmetry_space_group_name_H-M 'P 1'
_symmetry_Int_Tables_number 1
_symmetry_space_group_name_Hall 'P 1'
_cell_length_a 2.784
_cell_length_b 2.784
_cell_length_c 6.723
_cell_angle_alpha 90.00
_cell_angle_beta 90.00
_cell_angle_gamma 90.00
loop_
_atom_site_label
_atom_site_type_symbol
_atom_site_fract_x
_atom_site_fract_y
_atom_site_fract_z
_atom_site_occupancy
Al1 Al 0.000 0.000 0.000 1
Al2 Al 0.500 0.500 0.317 1
Al3 Al 0.500 0.500 0.683 1
C1 C 0.000 0.000 0.500 1
# D(E_F): 1.52 states/eV/f.u.
# Calculated formation energy: 0.583 eV per atom
# E above lowest polymorph: 558 meV per atom

=====

Entry 2:
# Ce5ScRu5 (GGA-PBE, optimized geometry)
data_Ce5ScRu5
_chemical_formula_sum 'Ce5 Sc1 Ru5'
_symmetry_space_group_name_H-M 'P 1'
_symmetry_Int_Tables_number 1
_symmetry_space_group_name_Hall 'P 1'
_cell_length_a 6.491
_cell_length_b 6.491
_cell_length_c 8.582
_cell_angle_alpha 109.06
_cell_angle_beta 109.06
_cell_angle_gamma 48.53
loop_
_atom_site_label
_atom_site_type_symbol
_atom_site_fract_x
_atom_site_fract_y
_atom_site_fract_z
_atom_site_occupancy
Ce1 Ce 0.000 0.000 0.000 1
Ce2 Ce 0.326 0.326 0.171 1
Ce3 Ce 0.328 0.328 0.655 1
Ce4 Ce 0.672 0.672 0.345 1
Ce5 Ce 0.674 0.674 0.829 1
Sc1 Sc 0.000 0.000 0.500 1
Ru1 Ru 0.132 0.132 0.307 1
Ru2 Ru 0.140 0.140 0.831 1
Ru3 Ru 0.500 0.500 0.500 1
Ru4 Ru 0.860 0.860 0.169 1
Ru5 Ru 0.868 0.868 0.693 1
# D(E_F): 10.65 states/eV/f.u.
# Calculated formation energy: -0.255 eV per atom

=====

Entry 3:
# LiErNbRu (GGA-PBE, optimized geometry)
data_LiErNbRu
_chemical_formula_sum 'Li1 Er1 Nb1 Ru1'
_symmetry_space_group_name_H-M 'P 1'
_symmetry_Int_Tables_number 1
_symmetry_space_group_name_Hall 'P 1'
_cell_length_a 4.653
_cell_length_b 4.653
_cell_length_c 4.653
_cell_angle_alpha 60.00
_cell_angle_beta 60.00
_cell_angle_gamma 60.00
loop_
_atom_site_label
_atom_site_type_symbol
_atom_site_fract_x
_atom_site_fract_y
_atom_site_fract_z
_atom_site_occupancy
Li1 Li 0.000 0.000 0.000 1
Er1 Er 0.750 0.750 0.750 1
Nb1 Nb 0.250 0.250 0.250 1
Ru1 Ru 0.500 0.500 0.500 1
# D(E_F): 2.13 states/eV/f.u.
# Calculated formation energy: -0.074 eV per atom

=====

Entry 4:
# CaZn2Cl (GGA-PBE, optimized geometry)
data_CaZn2Cl
_chemical_formula_sum 'Ca1 Zn2 Cl1'
_symmetry_space_group_name_H-M 'P 1'
_symmetry_Int_Tables_number 1
_symmetry_space_group_name_Hall 'P 1'
_cell_length_a 5.654
_cell_length_b 5.654
_cell_length_c 5.654
_cell_angle_alpha 138.89
_cell_angle_beta 121.36
_cell_angle_gamma 74.10
loop_
_atom_site_label
_atom_site_type_symbol
_atom_site_fract_x
_atom_site_fract_y
_atom_site_fract_z
_atom_site_occupancy
Ca1 Ca 0.000 0.000 0.000 1
Zn1 Zn 0.274 0.774 0.500 1
Zn2 Zn 0.476 0.476 0.000 1
Cl1 Cl 0.791 0.291 0.500 1
# D(E_F): 2.39 states/eV/f.u.
# Raw formation energy: -48.2 kJ per mole of atoms
# E above lowest polymorph: 202 meV per atom

=====

no.,size of the total moment (μB/atom)
1,0.00
2,0.00
3,0.00
4,0.00